A plane-wave DFT calculation with PBE was carried out for a relaxed YTe3PdPb crystal.

Values from the calculation:
Total DFT energy (no corrections): -4.873 eV per atom

Lattice parameters (Å, degrees): 8.4429 4.2155 10.7186 90.00 107.36 90.00
Closest atoms and distances in Å follow each position.
Fractional coordinates of all 12 atoms:
Y 0.2002 0.2500 0.1725  6 Te 3.03-3.14, 2 Pd 3.34
Y 0.7998 0.7500 0.8275  6 Te 3.03-3.14, 2 Pd 3.34
Te 0.0792 0.2500 0.8658  3 Y 3.10-3.14, 2 Pb 3.29
Te 0.2443 0.2500 0.4640  3 Pd 2.71-2.83, 1 Y 3.03
Te 0.4555 0.7500 0.1582  1 Pd 2.78, 2 Y 3.05
Te 0.5445 0.2500 0.8418  1 Pd 2.78, 2 Y 3.05
Te 0.7557 0.7500 0.5360  3 Pd 2.71-2.83, 1 Y 3.03
Te 0.9208 0.7500 0.1342  3 Y 3.10-3.14, 2 Pb 3.29
Pd 0.4108 0.7500 0.4044  4 Te 2.71-2.83, 2 Pd 3.01
Pd 0.5892 0.2500 0.5956  4 Te 2.71-2.83, 2 Pd 3.01
Pb 0.2498 0.7500 0.7084  6 Te 3.25-3.35
Pb 0.7502 0.2500 0.2916  6 Te 3.25-3.35